# 1
{"formula": "Er2InS4", "functional": "PBE-GGA", "state": "optimized geometry", "formation_energy_uncorrected_ev_per_atom": -1.581, "crystal_system": "orthorhombic", "sg": "Imma, No. 74", "cell": [[-2.8733, -7.2360, 1.9137], [5.6857, -3.4513, -4.4765], [4.8473, -5.5224, 3.2218]], "species": ["Er", "Er", "Er", "Er", "In", "In", "S", "S", "S", "S", "S", "S", "S", "S"], "fractional_positions": [[0.5000, 0.5000, 0.5000], [0.5000, 0.0000, 0.5000], [0.0000, 0.0000, 0.0000], [0.5000, 0.0000, 0.0000], [0.8746, 0.6254, 0.7500], [0.1254, 0.3746, 0.2500], [0.2602, 0.7798, 0.9800], [0.7398, 0.2202, 0.0200], [0.2798, 0.7602, 0.4800], [0.2601, 0.2402, 0.5203], [0.2598, 0.2399, 0.9797], [0.7399, 0.7598, 0.4797], [0.7202, 0.2398, 0.5200], [0.7402, 0.7601, 0.0203]]}

# 2
{"formula": "Er2InS4", "functional": "PBE-GGA", "state": "optimized geometry", "formation_energy_uncorrected_ev_per_atom": -1.521, "crystal_system": "monoclinic", "sg": "C2/m, No. 12", "cell": [[-2.1404, 0.5526, -3.2571], [-4.7690, -4.3408, 2.3975], [0.4947, 7.0518, 3.2502]], "species": ["Er", "Er", "In", "S", "S", "S", "S"], "fractional_positions": [[0.7301, 0.7398, 0.4603], [0.2699, 0.2602, 0.5397], [0.0000, 0.0000, 0.0000], [0.8687, 0.1874, 0.7374], [0.1313, 0.8126, 0.2626], [0.6442, 0.2904, 0.2883], [0.3558, 0.7096, 0.7117]]}

# 3
{"formula": "Er4InS6", "functional": "PBE-GGA", "state": "optimized geometry", "formation_energy_uncorrected_ev_per_atom": -1.767, "crystal_system": "orthorhombic", "sg": "Cmcm, No. 63", "cell": [[3.9154, 0.0000, 0.0000], [-1.9577, 6.4980, 0.0000], [0.0000, 0.0000, 20.6485]], "species": ["Er", "Er", "Er", "Er", "Er", "Er", "Er", "Er", "In", "In", "S", "S", "S", "S", "S", "S", "S", "S", "S", "S", "S", "S"], "fractional_positions": [[0.8676, 0.7352, 0.5413], [0.4039, 0.8077, 0.1330], [0.1324, 0.2648, 0.4587], [0.5961, 0.1923, 0.8670], [0.8676, 0.7352, 0.9587], [0.1324, 0.2648, 0.0413], [0.5961, 0.1923, 0.6330], [0.4039, 0.8077, 0.3670], [0.6623, 0.3247, 0.2500], [0.3377, 0.6753, 0.7500], [0.5000, 0.0000, 0.0000], [0.5000, 0.0000, 0.5000], [0.0370, 0.0739, 0.3477], [0.9630, 0.9261, 0.6523], [0.9630, 0.9261, 0.8477], [0.0370, 0.0739, 0.1523], [0.7717, 0.5435, 0.4200], [0.2283, 0.4565, 0.5800], [0.2283, 0.4565, 0.9200], [0.7717, 0.5435, 0.0800], [0.3323, 0.6645, 0.2500], [0.6677, 0.3355, 0.7500]]}

# 4
{"formula": "Er3InS", "functional": "PBE-GGA", "state": "optimized geometry", "formation_energy_uncorrected_ev_per_atom": -0.848, "crystal_system": "cubic", "sg": "Pm-3m, No. 221", "cell": [[5.1024, 0.0000, 0.0000], [0.0000, 5.1024, 0.0000], [0.0000, 0.0000, 5.1024]], "species": ["S", "In", "Er", "Er", "Er"], "fractional_positions": [[0.0000, 0.0000, 0.0000], [0.5000, 0.5000, 0.5000], [0.0000, 0.5000, 0.0000], [0.0000, 0.0000, 0.5000], [0.5000, 0.0000, 0.0000]]}

# 5
{"formula": "Er2ScInS6", "functional": "PBE-GGA", "state": "optimized geometry", "formation_energy_uncorrected_ev_per_atom": -1.609, "crystal_system": "trigonal", "sg": "R3, No. 146", "cell": [[-3.8776, -5.1507, 1.8942], [0.0084, -5.6985, -3.5600], [3.1807, -5.7322, 2.8427]], "species": ["Er", "Er", "Sc", "In", "S", "S", "S", "S", "S", "S"], "fractional_positions": [[0.5201, 0.5201, 0.4397], [0.0144, 0.0145, 0.9567], [0.3190, 0.3190, 0.0429], [0.8133, 0.8132, 0.5602], [0.5981, 0.2124, 0.2521], [0.2125, 0.9373, 0.2520], [0.9373, 0.5982, 0.2521], [0.4249, 0.7102, 0.7532], [0.7102, 0.1117, 0.7531], [0.1118, 0.4249, 0.7532]]}

# 6
{"formula": "Er6InSe2S3", "functional": "PBE-GGA", "state": "optimized geometry", "formation_energy_uncorrected_ev_per_atom": -1.578, "crystal_system": "monoclinic", "sg": "C2/m, No. 12", "cell": [[3.9013, 0.0000, 0.0000], [0.0000, 8.2072, 0.2857], [-1.9507, -2.3744, 8.4568]], "species": ["Er", "Er", "Er", "Er", "Er", "Er", "In", "Se", "Se", "S", "S", "S"], "fractional_positions": [[0.3284, 0.9292, 0.6568], [0.6609, 0.5946, 0.3218], [0.6716, 0.0708, 0.3432], [0.9971, 0.2696, 0.9942], [0.0029, 0.7304, 0.0058], [0.3391, 0.4054, 0.6782], [0.5000, 0.0000, 0.0000], [0.8301, 0.6615, 0.6601], [0.1699, 0.3385, 0.3399], [0.5000, 0.5000, 0.0000], [0.8316, 0.1699, 0.6631], [0.1684, 0.8301, 0.3369]]}

# 7
{"formula": "ErInSeS", "functional": "PBE-GGA", "state": "optimized geometry", "formation_energy_uncorrected_ev_per_atom": -1.337, "crystal_system": "trigonal", "sg": "R3m, No. 160", "cell": [[-0.2594, -2.2044, -3.3677], [0.6121, -1.8094, 3.5526], [-7.7260, 1.4475, 2.0639]], "species": ["Er", "In", "Se", "S"], "fractional_positions": [[0.2956, 0.5455, 0.8568], [0.9579, 0.3773, 0.3491], [0.1112, 0.9537, 0.0801], [0.5133, 0.1543, 0.6837]]}

# 8
{"formula": "ErIn2SnS4", "functional": "PBE-GGA", "state": "optimized geometry", "formation_energy_uncorrected_ev_per_atom": -0.857, "crystal_system": "monoclinic", "sg": "P2/m, No. 10", "cell": [[3.9786, 0.0000, 0.0000], [0.0000, 7.2774, -0.2386], [0.0000, 2.4737, 6.7696]], "species": ["Er", "In", "In", "Sn", "S", "S", "S", "S"], "fractional_positions": [[0.0000, 0.5000, 0.5000], [0.0000, 0.0000, 0.0000], [0.5000, 0.0000, 0.5000], [0.5000, 0.5000, 0.0000], [0.0000, 0.7357, 0.7339], [0.0000, 0.2643, 0.2661], [0.5000, 0.7173, 0.2796], [0.5000, 0.2827, 0.7204]]}

# 9
{"formula": "Sr2ErInS5", "functional": "PBE-GGA", "state": "optimized geometry", "formation_energy_uncorrected_ev_per_atom": -1.700, "crystal_system": "orthorhombic", "sg": "Cmc2_1, No. 36", "cell": [[-0.0661, 3.9803, 0.6887], [-7.5682, -1.3949, -4.5140], [-6.1412, -1.9899, 10.9114]], "species": ["Sr", "Sr", "Sr", "Sr", "Er", "Er", "In", "In", "S", "S", "S", "S", "S", "S", "S", "S", "S", "S"], "fractional_positions": [[0.8637, 0.7274, 0.8106], [0.1122, 0.2244, 0.6810], [0.1363, 0.2726, 0.3106], [0.8878, 0.7756, 0.1810], [0.7854, 0.5708, 0.5194], [0.2146, 0.4292, 0.0194], [0.5413, 0.0825, 0.9469], [0.4587, 0.9175, 0.4469], [0.3655, 0.7311, 0.0002], [0.6862, 0.3723, 0.8748], [0.4931, 0.9862, 0.7685], [0.2850, 0.5700, 0.6623], [0.9472, 0.8945, 0.5603], [0.6345, 0.2689, 0.5002], [0.3138, 0.6277, 0.3748], [0.5069, 0.0138, 0.2685], [0.7150, 0.4300, 0.1623], [0.0528, 0.1055, 0.0603]]}

# 10
{"formula": "Er3TiIn3S8", "functional": "PBE-GGA", "state": "optimized geometry", "formation_energy_uncorrected_ev_per_atom": -1.371, "crystal_system": "trigonal", "sg": "R-3m, No. 166", "cell": [[-4.4360, 2.1418, -5.9072], [0.6738, -7.4465, 1.8023], [-4.8148, 4.8361, 5.3683]], "species": ["Er", "Er", "Er", "Ti", "In", "In", "In", "S", "S", "S", "S", "S", "S", "S", "S"], "fractional_positions": [[0.5000, 0.0000, 0.5000], [0.5000, 0.5000, 0.5000], [0.0000, 0.5000, 0.5000], [0.0000, 0.0000, 0.5000], [0.0000, 0.0000, 0.0000], [0.0000, 0.5000, 0.0000], [0.5000, 0.5000, 0.0000], [0.2657, 0.5315, 0.2972], [0.7343, 0.4685, 0.7028], [0.7824, 0.5647, 0.3073], [0.2176, 0.4353, 0.6927], [0.7824, 0.0250, 0.3073], [0.2176, 0.9750, 0.6927], [0.2426, 0.0249, 0.3073], [0.7574, 0.9751, 0.6927]]}

# 11
{"formula": "Er3Tl4InS8", "functional": "PBE-GGA", "state": "optimized geometry", "formation_energy_uncorrected_ev_per_atom": -1.228, "crystal_system": "trigonal", "sg": "R-3m, No. 166", "cell": [[7.9523, 0.0000, 0.0000], [0.0000, 8.8028, 0.5931], [-3.9762, -3.9712, 5.6273]], "species": ["Er", "Er", "Er", "Tl", "Tl", "Tl", "Tl", "In", "S", "S", "S", "S", "S", "S", "S", "S"], "fractional_positions": [[0.5000, 0.5000, 0.0000], [0.5000, 0.5000, 0.5000], [0.0000, 0.5000, 0.5000], [0.5000, 0.0000, 0.0000], [0.5000, 0.0000, 0.5000], [0.0000, 0.0000, 0.0000], [0.0000, 0.0000, 0.5000], [0.0000, 0.5000, 0.0000], [0.2300, 0.6958, 0.9658], [0.2300, 0.6958, 0.4600], [0.2680, 0.3041, 0.5361], [0.7357, 0.6958, 0.9658], [0.2643, 0.3042, 0.0342], [0.7320, 0.6959, 0.4639], [0.7700, 0.3042, 0.5400], [0.7700, 0.3042, 0.0342]]}

# 12
{"formula": "Er3Tl3InS8", "functional": "PBE-GGA", "state": "optimized geometry", "formation_energy_uncorrected_ev_per_atom": -1.222, "crystal_system": "trigonal", "sg": "R-3m, No. 166", "cell": [[-0.3587, -1.1556, -7.8321], [-6.5480, -0.6873, 4.4105], [3.0738, 7.9848, -1.3144]], "species": ["Er", "Er", "Er", "Tl", "Tl", "Tl", "In", "S", "S", "S", "S", "S", "S", "S", "S"], "fractional_positions": [[0.5000, 0.0000, 0.5000], [0.5000, 0.5000, 0.5000], [0.0000, 0.5000, 0.5000], [0.0000, 0.0000, 0.0000], [0.0000, 0.5000, 0.0000], [0.5000, 0.5000, 0.0000], [0.0000, 0.0000, 0.5000], [0.2662, 0.5327, 0.2990], [0.7338, 0.4673, 0.7010], [0.7698, 0.5397, 0.3016], [0.2302, 0.4603, 0.6984], [0.7696, 0.0315, 0.3013], [0.2304, 0.9685, 0.6987], [0.2618, 0.0316, 0.3014], [0.7382, 0.9684, 0.6986]]}

# 13
{"formula": "Er2Tl2InS6", "functional": "PBE-GGA", "state": "optimized geometry", "formation_energy_uncorrected_ev_per_atom": -1.126, "crystal_system": "monoclinic", "sg": "C2/m, No. 12", "cell": [[6.8438, -0.0264, 0.0637], [-3.4055, 5.9364, 0.0637], [-1.2244, -2.1046, 7.1726]], "species": ["Er", "Er", "Tl", "Tl", "In", "S", "S", "S", "S", "S", "S"], "fractional_positions": [[0.3320, 0.6680, 0.5000], [0.6680, 0.3320, 0.5000], [0.8306, 0.1694, 0.0000], [0.1694, 0.8306, 0.0000], [0.0000, 0.0000, 0.5000], [0.7473, 0.7473, 0.6979], [0.0678, 0.4019, 0.7063], [0.2527, 0.2527, 0.3021], [0.4019, 0.0678, 0.7063], [0.9322, 0.5981, 0.2937], [0.5981, 0.9322, 0.2937]]}

# 14
{"formula": "ErTl2InS4", "functional": "PBE-GGA", "state": "optimized geometry", "formation_energy_uncorrected_ev_per_atom": -0.978, "crystal_system": "monoclinic", "sg": "P2/m, No. 10", "cell": [[3.9446, 0.0000, 0.0000], [0.0000, 7.8743, -0.4929], [0.0000, 2.4446, 6.4169]], "species": ["Er", "Tl", "Tl", "In", "S", "S", "S", "S"], "fractional_positions": [[0.0000, 0.5000, 0.5000], [0.0000, 0.0000, 0.0000], [0.5000, 0.0000, 0.5000], [0.5000, 0.5000, 0.0000], [0.0000, 0.6929, 0.7754], [0.0000, 0.3071, 0.2246], [0.5000, 0.6980, 0.2664], [0.5000, 0.3020, 0.7336]]}

# 15
{"formula": "Er2Tl3InS6", "functional": "PBE-GGA", "state": "optimized geometry", "formation_energy_uncorrected_ev_per_atom": -1.141, "crystal_system": "monoclinic", "sg": "C2/m, No. 12", "cell": [[6.8726, 0.0012, -0.0014], [-3.4335, 5.9534, -0.0014], [-1.1484, -1.9884, 7.5394]], "species": ["Er", "Er", "Tl", "Tl", "Tl", "In", "S", "S", "S", "S", "S", "S"], "fractional_positions": [[0.3336, 0.6664, 0.0000], [0.6664, 0.3336, 0.0000], [0.1687, 0.8313, 0.5000], [0.8313, 0.1687, 0.5000], [0.5000, 0.5000, 0.5000], [0.0000, 0.0000, 0.0000], [0.9350, 0.6073, 0.8054], [0.7371, 0.7371, 0.1980], [0.0650, 0.3927, 0.1946], [0.6073, 0.9350, 0.8054], [0.2629, 0.2629, 0.8020], [0.3927, 0.0650, 0.1946]]}

# 16
{"formula": "ErTm2In3S6", "functional": "PBE-GGA", "state": "optimized geometry", "formation_energy_uncorrected_ev_per_atom": -1.405, "crystal_system": "monoclinic", "sg": "C2/m, No. 12", "cell": [[-2.5320, -5.5710, 3.0352], [4.0864, -0.6316, -5.4371], [5.4736, 1.8150, 5.3340]], "species": ["Er", "Tm", "Tm", "In", "In", "In", "S", "S", "S", "S", "S", "S"], "fractional_positions": [[0.0000, 0.0000, 0.0000], [0.3333, 0.6667, 0.0000], [0.6667, 0.3333, 0.0000], [0.1666, 0.8334, 0.5000], [0.8334, 0.1666, 0.5000], [0.5000, 0.5000, 0.5000], [0.9338, 0.5992, 0.8013], [0.7316, 0.7316, 0.1984], [0.0662, 0.4008, 0.1987], [0.5992, 0.9338, 0.8013], [0.2684, 0.2684, 0.8016], [0.4008, 0.0662, 0.1987]]}

# 17
{"formula": "Y2ErInS6", "functional": "PBE-GGA", "state": "optimized geometry", "formation_energy_uncorrected_ev_per_atom": -1.655, "crystal_system": "trigonal", "sg": "R3, No. 146", "cell": [[6.8482, 0.0005, 0.0005], [3.4245, 5.9300, 0.0000], [3.4243, 1.9769, 6.1013]], "species": ["Y", "Y", "Er", "In", "S", "S", "S", "S", "S", "S"], "fractional_positions": [[0.5193, 0.5193, 0.4422], [0.0166, 0.0167, 0.9501], [0.3162, 0.3161, 0.0516], [0.8141, 0.8141, 0.5575], [0.6113, 0.2096, 0.2549], [0.2097, 0.9241, 0.2548], [0.9241, 0.6114, 0.2549], [0.4284, 0.7142, 0.7497], [0.7143, 0.1075, 0.7497], [0.1076, 0.4285, 0.7498]]}

# 18
{"formula": "ErZnInS4", "functional": "PBE-GGA", "state": "optimized geometry", "formation_energy_uncorrected_ev_per_atom": -1.120, "crystal_system": "orthorhombic", "sg": "Imma, No. 74", "cell": [[-7.0029, -1.9591, 2.4869], [-4.2014, -5.0743, -3.9533], [-1.2452, -7.0348, 2.8268]], "species": ["Er", "Er", "Zn", "Zn", "In", "In", "S", "S", "S", "S", "S", "S", "S", "S"], "fractional_positions": [[0.0000, 0.0000, 0.0000], [0.0000, 0.5000, 0.5000], [0.6218, 0.6282, 0.1282], [0.3782, 0.3718, 0.8718], [0.5000, 0.0000, 0.5000], [0.0000, 0.0000, 0.5000], [0.7502, 0.7599, 0.7396], [0.2498, 0.7604, 0.7401], [0.7502, 0.2396, 0.2599], [0.2498, 0.2401, 0.2604], [0.2434, 0.7527, 0.2527], [0.7512, 0.7527, 0.2527], [0.2488, 0.2473, 0.7473], [0.7566, 0.2473, 0.7473]]}

# 19
{"formula": "ErInSb2", "functional": "PBE-GGA", "state": "optimized geometry", "formation_energy_uncorrected_ev_per_atom": -0.367, "crystal_system": "trigonal", "sg": "R-3m, No. 166", "cell": [[-4.1333, 1.1777, 0.3129], [-2.0923, -0.4531, 3.7398], [0.0078, 7.0244, 3.3381]], "species": ["Sb", "Sb", "In", "Er"], "fractional_positions": [[0.2506, 0.2506, 0.2481], [0.7494, 0.7494, 0.7519], [0.0000, 0.0000, 0.0000], [0.5000, 0.5000, 0.5000]]}

# 20
{"formula": "ErIn2Sb", "functional": "PBE-GGA", "state": "optimized geometry", "formation_energy_uncorrected_ev_per_atom": 0.169, "crystal_system": "trigonal", "sg": "R-3m, No. 166", "cell": [[-0.0529, -3.4981, -0.2208], [3.0057, -1.8037, 0.0285], [0.4558, -2.4700, 11.1947]], "species": ["Sb", "In", "In", "Er"], "fractional_positions": [[0.5000, 0.5000, 0.5000], [0.0924, 0.0924, 0.7229], [0.9076, 0.9076, 0.2771], [0.0000, 0.0000, 0.0000]]}